Entry 1:
Material: Zr4NiAuC2
Method: DFT, PBE
State: optimized geometry

Cell: 3.3344 3.3344 13.6131 Å, 90.00 90.00 120.00°
Atoms (fractional coordinates):
1 Zr 0.0000 0.0000 0.1408
2 Zr 0.0000 0.0000 0.8592
3 Zr 0.3333 0.6667 0.3328
4 Zr 0.3333 0.6667 0.6672
5 Ni 0.3333 0.6667 0.0000
6 Au 0.0000 0.0000 0.5000
7 C 0.6667 0.3333 0.2391
8 C 0.6667 0.3333 0.7609

Output
total moment: 0.0 μB per formula unit
symmetry: P-6m2, No. 187
final energy: -8.24 eV per atom



Entry 2:
Material: OsAuC3
Method: DFT, PBE
State: optimized geometry

Cell: 5.6697 5.6697 5.6697 Å, 127.95 127.95 76.71°
Atoms (fractional coordinates):
1 Os 0.2500 0.7500 0.5000
2 Os 0.7500 0.2500 0.5000
3 Au 0.0000 0.0000 0.0000
4 Au 0.5000 0.5000 0.0000
5 C 0.0972 0.5972 0.6943
6 C 0.2500 0.2500 0.0000
7 C 0.4028 0.0972 0.5000
8 C 0.5972 0.9028 0.5000
9 C 0.7500 0.7500 0.0000
10 C 0.9028 0.4028 0.3057

Output
total moment: 0.8 μB per formula unit
symmetry: I4/mcm, No. 140
final energy: -6.47 eV per atom



Entry 3:
Material: PW4AuC2
Method: DFT, PBE
State: optimized geometry

Cell: 3.1756 3.1756 12.4524 Å, 90.00 90.00 120.00°
Atoms (fractional coordinates):
1 P 0.0000 0.0000 0.0000
2 W 0.0000 0.0000 0.3176
3 W 0.0000 0.0000 0.6824
4 W 0.6667 0.3333 0.1385
5 W 0.6667 0.3333 0.8615
6 Au 0.6667 0.3333 0.5000
7 C 0.3333 0.6667 0.2380
8 C 0.3333 0.6667 0.7620

Output
total moment: 0.0 μB per formula unit
symmetry: P-6m2, No. 187
final energy: -9.76 eV per atom



Entry 4:
Material: PW4AuC2
Method: DFT, PBE
State: optimized geometry

Cell: 3.1756 3.1756 12.4525 Å, 90.00 90.00 120.00°
Atoms (fractional coordinates):
1 P 0.0000 0.0000 0.0000
2 W 0.0000 0.0000 0.3176
3 W 0.0000 0.0000 0.6824
4 W 0.3333 0.6667 0.1385
5 W 0.3333 0.6667 0.8615
6 Au 0.3333 0.6667 0.5000
7 C 0.6667 0.3333 0.2380
8 C 0.6667 0.3333 0.7620

Output
total moment: 0.0 μB per formula unit
symmetry: P-6m2, No. 187
final energy: -9.76 eV per atom



Entry 5:
Material: Y4PAuC2
Method: DFT, PBE
State: optimized geometry

Cell: 3.7301 3.7301 13.5722 Å, 90.00 90.00 120.00°
Atoms (fractional coordinates):
1 Y 0.0000 0.0000 0.1347
2 Y 0.0000 0.0000 0.8653
3 Y 0.3333 0.6667 0.3340
4 Y 0.3333 0.6667 0.6660
5 P 0.3333 0.6667 0.0000
6 Au 0.0000 0.0000 0.5000
7 C 0.6667 0.3333 0.2471
8 C 0.6667 0.3333 0.7529

Output
total moment: 0.0 μB per formula unit
symmetry: P-6m2, No. 187
final energy: -7.28 eV per atom



Entry 6:
Material: Y4PAuC2
Method: DFT, PBE
State: optimized geometry

Cell: 3.7301 3.7301 13.5715 Å, 90.00 90.00 120.00°
Atoms (fractional coordinates):
1 Y 0.0000 0.0000 0.1347
2 Y 0.0000 0.0000 0.8653
3 Y 0.6667 0.3333 0.3340
4 Y 0.6667 0.3333 0.6660
5 P 0.6667 0.3333 0.0000
6 Au 0.0000 0.0000 0.5000
7 C 0.3333 0.6667 0.2471
8 C 0.3333 0.6667 0.7529

Output
total moment: 0.0 μB per formula unit
symmetry: P-6m2, No. 187
final energy: -7.28 eV per atom



Entry 7:
Material: Y4PbAuC2
Method: DFT, PBE
State: optimized geometry

Cell: 3.6695 3.6695 15.0490 Å, 90.00 90.00 120.00°
Atoms (fractional coordinates):
1 Y 0.0000 0.0000 0.1472
2 Y 0.0000 0.0000 0.8528
3 Y 0.6667 0.3333 0.3244
4 Y 0.6667 0.3333 0.6756
5 Pb 0.0000 0.0000 0.5000
6 Au 0.6667 0.3333 0.0000
7 C 0.3333 0.6667 0.2357
8 C 0.3333 0.6667 0.7643

Output
total moment: 0.0 μB per formula unit
symmetry: P-6m2, No. 187
final energy: -6.92 eV per atom



Entry 8:
Material: Sc4AuC2S
Method: DFT, PBE
State: optimized geometry

Cell: 3.4338 3.4338 12.6627 Å, 90.00 90.00 120.00°
Atoms (fractional coordinates):
1 Sc 0.0000 0.0000 0.1386
2 Sc 0.0000 0.0000 0.8614
3 Sc 0.6667 0.3333 0.3293
4 Sc 0.6667 0.3333 0.6707
5 Au 0.0000 0.0000 0.5000
6 C 0.3333 0.6667 0.2381
7 C 0.3333 0.6667 0.7619
8 S 0.6667 0.3333 0.0000

Output
total moment: 0.3 μB per formula unit
symmetry: P-6m2, No. 187
final energy: -7.36 eV per atom